No. 1
This record from Alexandria via LeMat-Bulk describes a relaxed CaAlMo crystal. The functional is PBE.

## Properties
For the total magnetization, the calculation gives 9.2 μB/cell. The formation energy is 0.79 eV per atom. The calculation puts the polymorph energy (0 for the lowest one) at 534 meV/atom.

The structure in CIF format:
```
data_CaAlMo
_chemical_formula_sum 'Ca4 Al4 Mo4'
_cell_length_a 6.639
_cell_length_b 6.639
_cell_length_c 6.639
_cell_angle_alpha 90.00
_cell_angle_beta 90.00
_cell_angle_gamma 90.00
_symmetry_space_group_name_H-M 'F -4 3 m'
_symmetry_Int_Tables_number 216
_symmetry_space_group_name_Hall 'F -4 2 3'
loop_
_atom_site_label
_atom_site_type_symbol
_atom_site_fract_x
_atom_site_fract_y
_atom_site_fract_z
Ca1 Ca 0.000 0.000 0.000
Al1 Al 0.250 0.250 0.750
Mo1 Mo 0.000 0.000 0.500
```

No. 2
This record from Alexandria via LeMat-Bulk describes a relaxed CaAl2Mo crystal. The functional is PBE.

## Properties
For the total magnetization, the calculation gives 0.3 μB/cell. The formation energy is -0.04 eV per atom. The calculation puts the polymorph energy (0 for the lowest one) at 66 meV/atom.

The structure in CIF format:
```
data_CaAl2Mo
_chemical_formula_sum 'Ca1 Al2 Mo1'
_cell_length_a 2.943
_cell_length_b 2.943
_cell_length_c 8.702
_cell_angle_alpha 90.00
_cell_angle_beta 90.00
_cell_angle_gamma 90.00
_symmetry_space_group_name_H-M 'P 4/m m m'
_symmetry_Int_Tables_number 123
_symmetry_space_group_name_Hall '-P 4 2'
loop_
_atom_site_label
_atom_site_type_symbol
_atom_site_fract_x
_atom_site_fract_y
_atom_site_fract_z
Ca1 Ca 0.000 0.000 0.000
Al1 Al 0.500 0.500 0.285
Mo1 Mo 0.000 0.000 0.500
```

No. 3
This record from Alexandria via LeMat-Bulk describes a relaxed CaAl2Mo crystal. The functional is PBE.

## Properties
For the total magnetization, the calculation gives 0.0 μB/cell. The formation energy is 0.08 eV per atom. The calculation puts the polymorph energy (0 for the lowest one) at 187 meV/atom.

The structure in CIF format:
```
data_CaAl2Mo
_chemical_formula_sum 'Ca2 Al4 Mo2'
_cell_length_a 9.159
_cell_length_b 2.852
_cell_length_c 6.051
_cell_angle_alpha 90.00
_cell_angle_beta 95.61
_cell_angle_gamma 90.00
_symmetry_space_group_name_H-M 'C 1 2/m 1'
_symmetry_Int_Tables_number 12
loop_
_symmetry_equiv_pos_as_xyz
'x,y,z'
'-x,-y,-z'
'-x,y,-z'
'x,-y,z'
'x+1/2,y+1/2,z'
'-x+1/2,-y+1/2,-z'
'-x+1/2,y+1/2,-z'
'x+1/2,-y+1/2,z'
loop_
_atom_site_label
_atom_site_type_symbol
_atom_site_fract_x
_atom_site_fract_y
_atom_site_fract_z
Ca1 Ca 0.000 0.000 0.000
Al1 Al 0.240 0.000 0.690
Mo1 Mo 0.000 0.500 0.500
```

No. 4
This record from Alexandria via LeMat-Bulk describes a relaxed Ca4AlMo crystal. The functional is PBE.

## Properties
For the total magnetization, the calculation gives 12.0 μB/cell. The formation energy is 0.94 eV per atom.

The structure in CIF format:
```
data_Ca4AlMo
_chemical_formula_sum 'Ca16 Al4 Mo4'
_cell_length_a 8.966
_cell_length_b 8.966
_cell_length_c 8.966
_cell_angle_alpha 90.00
_cell_angle_beta 90.00
_cell_angle_gamma 90.00
_symmetry_space_group_name_H-M 'F -4 3 m'
_symmetry_Int_Tables_number 216
_symmetry_space_group_name_Hall 'F -4 2 3'
loop_
_atom_site_label
_atom_site_type_symbol
_atom_site_fract_x
_atom_site_fract_y
_atom_site_fract_z
Ca1 Ca 0.125 0.125 0.125
Al1 Al 0.000 0.000 0.500
Mo1 Mo 0.250 0.250 0.750
```

No. 5
This record from Alexandria via LeMat-Bulk describes a relaxed CaAl2Mo crystal. The functional is PBE.

## Properties
For the total magnetization, the calculation gives 0.0 μB/cell. The formation energy is 0.17 eV per atom. The calculation puts the polymorph energy (0 for the lowest one) at 275 meV/atom.

The structure in CIF format:
```
data_CaAl2Mo
_chemical_formula_sum 'Ca2 Al4 Mo2'
_cell_length_a 10.513
_cell_length_b 2.807
_cell_length_c 5.180
_cell_angle_alpha 90.00
_cell_angle_beta 105.07
_cell_angle_gamma 90.00
_symmetry_space_group_name_H-M 'C 1 m 1'
_symmetry_Int_Tables_number 8
loop_
_symmetry_equiv_pos_as_xyz
'x,y,z'
'x,-y,z'
'x+1/2,y+1/2,z'
'x+1/2,-y+1/2,z'
loop_
_atom_site_label
_atom_site_type_symbol
_atom_site_fract_x
_atom_site_fract_y
_atom_site_fract_z
Ca1 Ca 0.000 0.000 0.000
Al1 Al 0.039 0.500 0.507
Al2 Al 0.241 0.000 0.827
Mo1 Mo 0.292 0.500 0.367
```

No. 6
This record from Alexandria via LeMat-Bulk describes a relaxed Ca3AlMo crystal. The functional is PBE.

## Properties
For the total magnetization, the calculation gives 1.6 μB/cell. The formation energy is 0.91 eV per atom. The calculation puts the polymorph energy (0 for the lowest one) at 0 meV/atom.

The structure in CIF format:
```
data_Ca3AlMo
_chemical_formula_sum 'Ca3 Al1 Mo1'
_cell_length_a 5.507
_cell_length_b 5.507
_cell_length_c 5.507
_cell_angle_alpha 90.00
_cell_angle_beta 90.00
_cell_angle_gamma 90.00
_symmetry_space_group_name_H-M 'P m -3 m'
_symmetry_Int_Tables_number 221
_symmetry_space_group_name_Hall '-P 4 2 3'
loop_
_atom_site_label
_atom_site_type_symbol
_atom_site_fract_x
_atom_site_fract_y
_atom_site_fract_z
Ca1 Ca 0.000 0.000 0.500
Al1 Al 0.500 0.500 0.500
Mo1 Mo 0.000 0.000 0.000
```